(1)
{"formula": "Hf2NbH", "functional": "GGA-PBE", "state": "relaxed", "m_tot_mub_per_fu": 0.0, "dft_energy_ev_per_atom": -8.167, "cell": [[-6.209, 2.108, 1.324], [-1.514, -6.022, 2.487], [-2.986, -1.067, 4.593]], "species": ["Nb", "Nb", "H", "Hf", "Hf", "H", "Hf", "Hf"], "frac_coords": [[0.750, 0.250, 0.500], [0.000, 0.000, 0.000], [0.250, 0.750, 0.500], [0.875, 0.785, 0.750], [0.535, 0.125, 0.250], [0.500, 0.500, 0.000], [0.375, 0.465, 0.750], [0.215, 0.625, 0.250]]}

---

(2)
{"formula": "Hf3NbH3", "functional": "GGA-PBE", "state": "relaxed", "m_tot_mub_per_fu": 0.0, "dft_energy_ev_per_atom": -7.352, "cell": [[-3.544, -1.404, 2.467], [3.304, -5.145, 1.819], [1.377, 4.353, 4.455]], "species": ["Hf", "H", "Hf", "H", "Hf", "Hf", "Nb", "Hf", "Hf", "H", "H", "H", "Nb", "H"], "frac_coords": [[0.250, 0.608, 0.852], [0.250, 0.829, 0.652], [0.750, 0.392, 0.148], [0.250, 0.347, 0.171], [0.250, 0.148, 0.392], [0.750, 0.880, 0.120], [0.250, 0.638, 0.362], [0.750, 0.852, 0.608], [0.250, 0.120, 0.880], [0.750, 0.154, 0.846], [0.250, 0.846, 0.154], [0.750, 0.171, 0.348], [0.750, 0.362, 0.638], [0.750, 0.653, 0.829]]}

---

(3)
{"formula": "Hf2Nb2H3", "functional": "GGA-PBE", "state": "relaxed", "m_tot_mub_per_fu": 0.0, "dft_energy_ev_per_atom": -7.408, "cell": [[-3.058, 0.002, -1.566], [1.275, -4.198, -2.494], [-0.968, -0.803, 5.657]], "species": ["Nb", "Hf", "Hf", "Nb", "H", "H", "H"], "frac_coords": [[0.137, 0.402, 0.274], [0.390, 0.135, 0.779], [0.610, 0.865, 0.221], [0.863, 0.598, 0.726], [0.000, 0.000, 0.000], [0.199, 0.824, 0.397], [0.801, 0.176, 0.603]]}

---

(4)
{"formula": "Hf5Nb2H12", "functional": "GGA-PBE", "state": "relaxed", "m_tot_mub_per_fu": 0.0, "dft_energy_ev_per_atom": -6.037, "cell": [[5.552, 0.000, 0.000], [-2.776, 5.182, 0.160], [0.000, -1.636, 6.335]], "species": ["H", "H", "H", "Hf", "H", "Hf", "Hf", "Nb", "H", "H", "H", "H", "H", "H", "Hf", "Hf", "H", "H", "Nb"], "frac_coords": [[0.406, 0.327, 0.591], [0.508, 0.627, 0.903], [0.079, 0.673, 0.409], [0.715, 0.430, 0.829], [0.519, 0.038, 0.798], [0.285, 0.570, 0.171], [0.000, 0.000, 0.500], [0.756, 0.000, 0.000], [0.119, 0.627, 0.903], [0.492, 0.373, 0.097], [0.954, 0.909, 0.180], [0.481, 0.962, 0.202], [0.594, 0.673, 0.409], [0.046, 0.091, 0.820], [0.672, 0.344, 0.364], [0.328, 0.656, 0.636], [0.921, 0.327, 0.591], [0.881, 0.373, 0.097], [0.244, 0.000, 0.000]]}

---

Please write out number 2 again, unchanged.
{"formula": "Hf3NbH3", "functional": "GGA-PBE", "state": "relaxed", "m_tot_mub_per_fu": 0.0, "dft_energy_ev_per_atom": -7.352, "cell": [[-3.544, -1.404, 2.467], [3.304, -5.145, 1.819], [1.377, 4.353, 4.455]], "species": ["Hf", "H", "Hf", "H", "Hf", "Hf", "Nb", "Hf", "Hf", "H", "H", "H", "Nb", "H"], "frac_coords": [[0.250, 0.608, 0.852], [0.250, 0.829, 0.652], [0.750, 0.392, 0.148], [0.250, 0.347, 0.171], [0.250, 0.148, 0.392], [0.750, 0.880, 0.120], [0.250, 0.638, 0.362], [0.750, 0.852, 0.608], [0.250, 0.120, 0.880], [0.750, 0.154, 0.846], [0.250, 0.846, 0.154], [0.750, 0.171, 0.348], [0.750, 0.362, 0.638], [0.750, 0.653, 0.829]]}

---

Number 2 is which compound? Hf3NbH3